4
Lattice="4.6146 0.0000 0.0000 2.3073 3.9964 0.0000 2.3073 1.3321 7.3988" Properties=species:S:1:pos:R:3 comment="CsGa2Sn (GGA-PBE, relaxed)" e_form_mev_per_atom=-63 sg="R-3m, No. 166" final_energy_ev_per_cell=-11.16 pbc="T T T"
Sn 0.0000 0.0000 0.0000
Cs 4.6146 2.6642 3.6994
Ga 2.3073 1.3321 1.1115
Ga 6.9219 3.9964 6.2873

10
Lattice="9.1116 0.0000 0.0000 0.0000 9.1116 0.0000 0.0000 0.0000 4.2365" Properties=species:S:1:pos:R:3 comment="K2Te2Pb (GGA-PBE, relaxed)" sg="P4/mbm, No. 127" final_energy_ev_per_cell=-28.51 relative_energy_ev_per_fu=1.82 raw_formation_energy_mev_per_atom=-413 pbc="T T T"
Te 6.2627 7.4046 2.1183
Pb 0.0000 0.0000 0.0000
Te 7.4046 2.8488 2.1183
K 3.4913 8.0471 0.0000
Te 1.7069 6.2627 2.1183
Te 2.8488 1.7069 2.1183
K 1.0645 3.4913 0.0000
K 8.0471 5.6203 0.0000
Pb 4.5558 4.5558 0.0000
K 5.6203 1.0645 0.0000

10
Lattice="-1.5961 1.9609 4.4364 -1.5089 -4.6074 -1.4471 7.9353 0.7511 2.5181" Properties=species:S:1:pos:R:3 comment="Ir4W (GGA-PBE, relaxed)" e_form_mev_per_atom=135 sg="Cc, No. 9" final_energy_ev_per_cell=-95.44 pbc="T T T"
W 0.5075 -0.2339 0.6808
W 3.8911 0.8591 3.5608
Ir 6.0117 -0.2509 4.3992
Ir 2.4046 -1.0694 2.1413
Ir 4.2972 -2.3356 3.8221
Ir -0.5728 -2.5448 0.1543
Ir 2.1837 -0.6792 4.7832
Ir 0.1370 0.0826 3.2805
Ir 0.2092 -2.5644 2.8927
Ir 5.0821 -0.7405 1.8225

6
Lattice="0.0000 3.8309 3.8309 3.8309 0.0000 3.8309 3.8309 3.8309 0.0000" Properties=species:S:1:pos:R:3 comment="LiTa4W (GGA-PBE, relaxed)" e_form_mev_per_atom=656 sg="F-43m, No. 216" final_energy_ev_per_cell=-58.34 pbc="T T T"
Ta 2.8875 2.8875 2.8875
W 5.7463 5.7463 5.7463
Ta 4.7742 4.7742 2.8875
Ta 2.8875 4.7742 4.7742
Li 0.0000 0.0000 0.0000
Ta 4.7742 2.8875 4.7742

5
Lattice="-0.6742 -4.8494 -2.6364 0.5371 -2.7010 4.8309 -5.3949 0.3251 0.7816" Properties=species:S:1:pos:R:3 comment="Ca2YMgPd (GGA-PBE, relaxed)" e_form_mev_per_atom=-196 sg="P4/mmm, No. 123" final_energy_ev_per_cell=-18.24 pbc="T T T"
Ca -0.3371 -2.4247 -1.3182
Y -2.6975 0.1625 0.3908
Mg -2.7660 -3.6127 1.4881
Ca 0.2686 -1.3505 2.4155
Pd 0.0000 0.0000 0.0000

4
Lattice="5.4469 0.0000 0.0000 2.7235 4.7172 0.0000 2.7235 1.5724 4.4474" Properties=species:S:1:pos:R:3 comment="SmCdPb2 (GGA-PBE, relaxed)" e_form_mev_per_atom=-136 sg="Fm-3m, No. 225" final_energy_ev_per_cell=-13.59 relative_energy_ev_per_fu=0.91 pbc="T T T"
Pb 2.7235 1.5724 1.1119
Sm 0.0000 0.0000 0.0000
Cd 5.4469 3.1448 2.2237
Pb 8.1704 4.7172 3.3356

5
Lattice="3.7049 0.0000 0.0000 0.0000 3.7049 0.0000 1.8524 1.8524 10.8802" Properties=species:S:1:pos:R:3 comment="Ga2PbCl2 (GGA-PBE, relaxed)" sg="I4/mmm, No. 139" final_energy_ev_per_cell=-15.43 relative_energy_ev_per_fu=0.00 raw_formation_energy_mev_per_atom=-394 pbc="T T T"
Ga 3.7049 1.8524 5.4401
Cl 3.7049 3.7049 9.2382
Ga 1.8524 3.7049 5.4401
Pb 0.0000 0.0000 0.0000
Cl 1.8524 1.8524 1.6420

10
Lattice="-3.3274 4.3326 -3.9567 1.4270 -3.5925 -5.1339 -5.9817 -4.6857 5.6489" Properties=species:S:1:pos:R:3 comment="La3PrTh (GGA-PBE, relaxed)" e_form_mev_per_atom=143 sg="C2/m, No. 12" final_energy_ev_per_cell=-52.53 pbc="T T T"
La -2.5205 -2.6890 -0.8248
La -5.9570 -1.0770 1.1210
Pr -5.8379 -4.7537 -0.2960
Pr -2.0442 0.8081 -3.1457
Th 0.7135 -1.7963 -2.5669
La -1.9250 -2.8686 -4.5626
La -5.3616 -1.2567 -2.6168
La -4.3891 -3.1186 2.9854
La -3.4929 -0.8270 -6.4271
Th 0.0000 0.0000 0.0000

8
Lattice="-0.7161 4.1419 -0.1356 -0.3892 -0.2042 -4.1825 -9.2896 0.4872 -1.2736" Properties=species:S:1:pos:R:3 comment="CaV2S (GGA-PBE, relaxed)" sg="I-42d, No. 122" final_energy_ev_per_cell=-48.47 raw_formation_energy_mev_per_atom=32 pbc="T T T"
S -5.1158 1.1259 -3.8075
V -7.8324 3.8643 -3.6377
V -2.8428 1.5970 -2.9849
V -2.6310 1.5998 -0.8904
V -7.4837 1.7885 -3.6702
Ca -5.2792 3.2989 -1.7841
S -0.5527 1.9688 -2.1590
Ca 0.0000 0.0000 0.0000

9
Lattice="-2.7343 2.0133 2.1079 -1.4279 -4.5882 2.5300 6.3117 3.7720 4.5746" Properties=species:S:1:pos:R:3 comment="PaI2F6 (GGA-PBE, relaxed)" sg="Cmmm, No. 65" final_energy_ev_per_cell=-47.35 raw_formation_energy_mev_per_atom=-2614 pbc="T T T"
F -1.6816 -0.0036 1.6111
F 2.0825 4.3983 6.0680
F -2.4807 -2.5712 3.0269
I 0.3544 -0.6452 4.8583
F 0.8225 -0.7736 1.8059
Pa 0.0000 0.0000 0.0000
F 0.0670 -3.2012 3.1445
F 1.3270 1.9707 7.4066
I 1.7951 1.8423 4.3542

4
Lattice="2.8880 0.0147 0.0000 -1.0168 2.7031 0.0000 0.0000 0.0000 9.8201" Properties=species:S:1:pos:R:3 comment="CuWSe2 (GGA-PBE, relaxed)" sg="Cmm2, No. 35" final_energy_ev_per_cell=-22.68 relative_energy_ev_per_fu=1.95 raw_formation_energy_mev_per_atom=335 pbc="T T T"
Se 0.9356 1.3589 3.1466
W 0.0000 0.0000 5.1012
Se 0.0000 0.0000 9.1139
Cu 0.9356 1.3589 7.1884

5
Lattice="-4.9772 0.7973 -2.5488 -1.0808 -5.5310 0.3802 -2.4422 0.8227 5.0263" Properties=species:S:1:pos:R:3 comment="ScPtI3 (GGA-PBE, relaxed)" sg="Pm-3m, No. 221" final_energy_ev_per_cell=-16.33 relative_energy_ev_per_fu=0.22 raw_formation_energy_mev_per_atom=139 pbc="T T T"
Sc 0.0000 0.0000 0.0000
I -1.2211 0.4113 2.5131
I -0.5404 -2.7655 0.1901
I -2.4886 0.3987 -1.2744
Pt -4.2500 -1.9555 1.4288

12
Lattice="6.3855 -0.0002 0.0029 -3.1913 5.5308 0.0029 -1.0627 -1.8400 6.3242" Properties=species:S:1:pos:R:3 comment="K3La2PbO6 (GGA-PBE, relaxed)" sg="C2/m, No. 12" final_energy_ev_per_cell=-72.24 raw_formation_energy_mev_per_atom=-2137 pbc="T T T"
O 2.1515 -0.0003 1.2529
K 4.3079 -0.0271 3.1650
O 3.2070 1.8273 5.0770
K 1.0657 1.8453 3.1650
La 3.1959 1.8420 0.0029
O 2.1174 3.6662 1.2529
O -0.0200 3.6910 5.0770
K -2.1764 3.7178 3.1650
La -0.0017 3.6887 0.0029
O -1.0755 1.8634 1.2529
O 0.0141 0.0244 5.0770
Pb 0.0000 0.0000 0.0000

8
Lattice="-0.6225 4.8192 1.2043 -0.2456 -1.8980 4.6260 4.9853 0.0476 -0.4558" Properties=species:S:1:pos:R:3 comment="KAsF6 (GGA-PBE, relaxed)" sg="R-3, No. 148" final_energy_ev_per_cell=-36.40 raw_formation_energy_mev_per_atom=-2429 pbc="T T T"
F 3.1692 3.5685 0.9494
F 0.5370 3.9483 2.2280
As 0.0000 0.0000 0.0000
F 3.5803 -0.9795 3.1466
F 0.9481 -0.5997 4.4252
K 2.0586 1.4844 2.6873
F -0.2529 2.0954 4.3845
F 4.3701 0.8733 0.9901

8
Lattice="3.5692 0.0000 0.0000 0.0000 3.5692 0.0000 0.0000 0.0000 18.0584" Properties=species:S:1:pos:R:3 comment="YTh3Tl4 (GGA-PBE, relaxed)" e_form_mev_per_atom=-201 sg="P4/mmm, No. 123" final_energy_ev_per_cell=-39.80 relative_energy_ev_per_fu=0.00 pbc="T T T"
Tl 0.0000 0.0000 2.1306
Tl 0.0000 0.0000 11.3320
Y 1.7846 1.7846 0.0000
Tl 0.0000 0.0000 6.7264
Th 1.7846 1.7846 13.6328
Tl 0.0000 0.0000 15.9278
Th 1.7846 1.7846 4.4255
Th 1.7846 1.7846 9.0292

4
Lattice="4.0054 0.0000 0.0000 0.0000 2.6552 0.0013 0.0000 0.9428 4.7771" Properties=species:S:1:pos:R:3 comment="Fe2SiW (GGA-PBE, relaxed)" sg="P2/m, No. 10" final_energy_ev_per_cell=-35.36 raw_formation_energy_mev_per_atom=-15 pbc="T T T"
Fe 0.0000 1.7538 2.3322
Fe 0.0000 0.0452 0.0570
W 2.0027 2.6985 3.5837
Si 2.0027 0.8995 1.1946

7
Lattice="5.2963 0.0000 0.0000 0.0000 5.2963 0.0000 2.6482 2.6482 7.8004" Properties=species:S:1:pos:R:3 comment="La2Hg4Mo (GGA-PBE, relaxed)" e_form_mev_per_atom=168 sg="I4/mmm, No. 139" final_energy_ev_per_cell=-20.72 pbc="T T T"
Hg 2.6482 2.6482 5.0726
Hg 5.2963 5.2963 2.7279
La 5.2963 5.2963 5.8831
Hg 0.0000 2.6482 0.0000
Hg 2.6482 0.0000 0.0000
La 2.6482 2.6482 1.9174
Mo 0.0000 0.0000 0.0000

12
Lattice="6.6793 0.0000 0.0000 0.0000 7.3904 0.0000 0.0000 0.0000 7.3904" Properties=species:S:1:pos:R:3 comment="Pr4AgAu (GGA-PBE, relaxed)" e_form_mev_per_atom=-305 sg="P4/mcc, No. 124" final_energy_ev_per_cell=-54.16 relative_energy_ev_per_fu=0.00 pbc="T T T"
Pr 3.3396 6.1040 4.9280
Pr 0.0000 2.4623 1.2863
Pr 3.3396 1.2863 2.4623
Pr 3.3396 2.4623 6.1040
Ag 1.6698 0.0000 0.0000
Au 5.0094 3.6952 3.6952
Pr 3.3396 4.9280 1.2863
Pr 0.0000 6.1040 2.4623
Ag 5.0094 0.0000 0.0000
Pr 0.0000 1.2863 4.9280
Au 1.6698 3.6952 3.6952
Pr 0.0000 4.9280 6.1040

8
Lattice="7.8674 0.0000 0.0000 0.0000 7.8674 0.0000 3.9337 3.9337 2.8148" Properties=species:S:1:pos:R:3 comment="YSc2B (GGA-PBE, relaxed)" e_form_mev_per_atom=160 sg="I-42d, No. 122" final_energy_ev_per_cell=-50.33 pbc="T T T"
Sc 5.1444 1.9668 0.7037
Sc 2.7230 5.9005 0.7037
Y 7.8674 3.9337 1.4074
Sc 5.9005 6.6567 2.1111
B 3.9337 7.8674 1.4074
Sc 9.8342 9.0780 2.1111
B 3.9337 3.9337 0.0000
Y 0.0000 0.0000 0.0000

4
Lattice="-4.3287 -3.3011 0.2238 -4.1133 1.1273 3.3905 -4.7944 1.6558 -1.9893" Properties=species:S:1:pos:R:3 comment="RbLaAs2 (GGA-PBE, relaxed)" e_form_mev_per_atom=-448 sg="Fm-3m, No. 225" final_energy_ev_per_cell=-16.99 relative_energy_ev_per_fu=0.00 pbc="T T T"
As -3.3091 -0.1295 0.4063
Rb 0.0000 0.0000 0.0000
As -9.9273 -0.3885 1.2188
La -6.6182 -0.2590 0.8125

Which size of the total moment belongs to each record? In order, 0.00 0.00 0.00 0.00 0.00 0.00 0.00 0.00 0.00 0.00 0.00 0.41 0.84 0.00 0.00 3.31 0.00 0.00 0.00 0.00 μB per formula unit.
Which DOS at the Fermi energy belongs to each record? In order, 2.88 1.37 3.87 5.66 4.01 3.99 1.79 8.61 3.15 2.90 1.73 13.88 4.15 0.00 8.85 2.70 8.66 7.63 2.01 7.37 states/eV/f.u..